VASP calculation (PBE-GGA) on LuScIn after structural relaxation.

Values from the calculation:
The density of states at the Fermi level is 0.9783 states/eV/atom. For the formation energy, the calculation gives -0.070 eV per atom. The value obtained for the energy above the most stable polymorph in this dataset is 231 meV/atom. Its space group is No. 156.

Lattice parameters (Å, degrees): 5.165 5.165 3.146 90.00 90.00 120.00
Fractional coordinates of all 3 atoms:
Lu  0.000  0.000  0.000
Sc  0.333  0.667  0.999
In  0.667  0.333  0.501



VASP calculation (PBE-GGA) on LuSc2In after structural relaxation.

Values from the calculation:
The density of states at the Fermi level is 1.3124 states/eV/atom. For the formation energy, the calculation gives -0.260 eV per atom. The value obtained for the energy above the most stable polymorph in this dataset is 0 meV/atom. Its space group is No. 123.

Lattice parameters (Å, degrees): 4.597 4.597 4.602 90.00 90.00 90.00
Fractional coordinates of all 4 atoms:
Lu  0.000  0.000  0.000
Sc  0.000  0.500  0.500
Sc  0.500  0.000  0.500
In  0.500  0.500  0.000



VASP calculation (PBE-GGA) on LuScIn4 after structural relaxation.

Values from the calculation:
The density of states at the Fermi level is 0.6849 states/eV/atom. For the formation energy, the calculation gives -0.174 eV per atom. Its space group is No. 216.

Lattice parameters (Å, degrees): 5.903 5.903 5.903 60.00 60.00 60.00
Fractional coordinates of all 6 atoms:
Lu  0.000  0.000  0.000
Sc  0.750  0.750  0.750
In  0.375  0.375  0.375
In  0.375  0.375  0.875
In  0.375  0.875  0.375
In  0.875  0.375  0.375



VASP calculation (PBE-GGA) on LuScIn2 after structural relaxation.

Values from the calculation:
The density of states at the Fermi level is 0.6870 states/eV/atom. For the formation energy, the calculation gives -0.396 eV per atom. Its space group is No. 123.

Lattice parameters (Å, degrees): 3.619 3.619 7.289 90.00 90.00 90.00
Fractional coordinates of all 4 atoms:
Lu  0.000  0.000  0.000
Sc  0.000  0.000  0.500
In  0.500  0.500  0.261
In  0.500  0.500  0.739



Please write out number 2 again, unchanged.
VASP calculation (PBE-GGA) on LuSc2In after structural relaxation.

Values from the calculation:
The density of states at the Fermi level is 1.3124 states/eV/atom. For the formation energy, the calculation gives -0.260 eV per atom. The value obtained for the energy above the most stable polymorph in this dataset is 0 meV/atom. Its space group is No. 123.

Lattice parameters (Å, degrees): 4.597 4.597 4.602 90.00 90.00 90.00
Fractional coordinates of all 4 atoms:
Lu  0.000  0.000  0.000
Sc  0.000  0.500  0.500
Sc  0.500  0.000  0.500
In  0.500  0.500  0.000



Question: Which value of density of states at the Fermi level does entry 4 give?
Answer: 0.6870 states/eV/atom